(1)
The following is a PBE calculation of SrSbTe2O after structural relaxation, from the Alexandria database.

Unit cell a=5.1610 b=5.1610 c=4.7071 alpha=90.00 beta=90.00 gamma=90.00
With the nearest neighbours (Å) after each atom.
Positions (direct):
Te  0.0000  0.5000  0.0000  2 O 2.58
Te  0.5000  0.0000  0.0000  2 O 2.58
Sr  0.5000  0.5000  0.5000  8 Te 3.49, 4 Sb 3.65
Sb  0.0000  0.0000  0.5000  2 O 2.35
O  0.0000  0.0000  0.0000  2 Sb 2.35, 4 Te 2.58

Calculated values
ΔE to the lowest computed polymorph (kJ/mol of formula units): 16
Space group: No. 123
E_tot (eV for the cell shown): -19.9
Density of states at the Fermi level (states/eV per cell): 3.76
Calculated volume (Å³ per atom): 25.1

***

(2)
The following is a PBE calculation of SrSbTe2O after structural relaxation, from the Alexandria database.

Unit cell a=6.0511 b=6.0511 c=6.2504 alpha=90.00 beta=90.00 gamma=90.00
With the nearest neighbours (Å) after each atom.
Positions (direct):
O  0.5000  0.5000  0.5000  4 Sb 4.28, 8 Te 4.35
Te  0.0000  0.5000  0.0000  2 Sr 3.03
Te  0.5000  0.0000  0.0000  2 Sr 3.03
Sr  0.0000  0.0000  0.0000  4 Te 3.03, 2 Sb 3.13
Sb  0.0000  0.0000  0.5000  2 Sr 3.13

Calculated values
ΔE to the lowest computed polymorph (kJ/mol of formula units): 798
Space group: No. 123
E_tot (eV for the cell shown): -11.8
Density of states at the Fermi level (states/eV per cell): 20.12
Calculated volume (Å³ per atom): 45.8

***

(3)
The following is a PBE calculation of SrTiSb2O8 after structural relaxation, from the Alexandria database.

Unit cell a=4.9346 b=4.9339 c=6.4801 alpha=90.00 beta=90.00 gamma=85.63
With the nearest neighbours (Å) after each atom.
Positions (direct):
O  0.7939  0.2063  0.2068  1 Ti 1.93, 1 Sb 1.98
Ti  0.0000  0.0000  0.0000  4 O 1.93
O  0.6926  0.6929  0.0000  2 Sb 2.10, 1 Ti 2.22
Sb  0.5000  0.5000  0.2423  6 O 1.98-2.10
O  0.3074  0.3071  0.0000  2 Sb 2.10, 1 Ti 2.22
O  0.3312  0.3310  0.5000  2 Sb 2.07
O  0.2061  0.7937  0.7932  1 Ti 1.93, 1 Sb 1.98
O  0.6688  0.6690  0.5000  2 Sb 2.07
Sb  0.5000  0.5000  0.7577  6 O 1.98-2.10
Sr  0.0000  0.0000  0.5000  6 O 2.35-2.40
O  0.2060  0.7937  0.2068  1 Ti 1.93, 1 Sb 1.98
O  0.7940  0.2063  0.7932  1 Ti 1.93, 1 Sb 1.98

Calculated values
Space group: No. 65
E_tot (eV for the cell shown): -81.4
Calculated volume (Å³ per atom): 13.1

***

(4)
The following is a PBE calculation of SrTi2SbO8 after structural relaxation, from the Alexandria database.

Unit cell a=4.9960 b=4.9960 c=6.9851 alpha=82.35 beta=82.35 gamma=78.53
With the nearest neighbours (Å) after each atom.
Positions (direct):
Ti  0.4454  0.4454  0.7197  4 O 1.81-1.91
O  0.3368  0.3368  0.5093  1 Ti 1.81
O  0.7770  0.2189  0.7920  1 Ti 1.90, 1 Sb 2.02
O  0.6632  0.6632  0.4907  1 Ti 1.81
Ti  0.5546  0.5546  0.2803  4 O 1.81-1.91
O  0.2575  0.2576  0.9368  1 Ti 1.91, 1 Sb 1.96
Sb  0.0000  0.0000  0.0000  6 O 1.96-2.02
Sr  0.0000  0.0000  0.5000  6 O 2.47-2.62
O  0.2189  0.7771  0.7920  1 Ti 1.90, 1 Sb 2.02
O  0.7425  0.7424  0.0632  1 Ti 1.91, 1 Sb 1.96
O  0.2230  0.7811  0.2080  1 Ti 1.90, 1 Sb 2.02
O  0.7811  0.2229  0.2080  1 Ti 1.90, 1 Sb 2.02

Calculated values
Space group: No. 12
E_tot (eV for the cell shown): -89.1
Density of states at the Fermi level (states/eV per cell): 4.13
Calculated volume (Å³ per atom): 14.0

***

(5)
The following is a PBE calculation of SrTl2Sb2O6 after structural relaxation, from the Alexandria database.

Unit cell a=6.6275 b=6.3525 c=7.6365 alpha=117.55 beta=90.00 gamma=121.44
With the nearest neighbours (Å) after each atom.
Positions (direct):
Sr  0.5000  0.0000  0.5000  6 O 2.53-2.55
O  0.1579  0.8635  0.2324  1 Sb 1.91
Tl  0.7034  0.4068  0.1727  3 O 2.71-2.84
Sb  0.0338  0.0677  0.2141  3 O 1.90-1.91
O  0.7617  0.5234  0.5824  1 Sb 1.90
Tl  0.2966  0.5932  0.8273  3 O 2.71-2.84
O  0.7057  0.8635  0.2324  1 Sb 1.91
Sb  0.9662  0.9323  0.7859  3 O 1.90-1.91
O  0.8421  0.1365  0.7676  1 Sb 1.91
O  0.2383  0.4766  0.4176  1 Sb 1.90
O  0.2943  0.1365  0.7676  1 Sb 1.91

Calculated values
Space group: No. 12
E_tot (eV for the cell shown): -59.3
Density of states at the Fermi level (states/eV per cell): 0.00
Calculated volume (Å³ per atom): 21.0

***

(6)
The following is a PBE calculation of Sr2Tl3SbO6 after structural relaxation, from the Alexandria database.

Unit cell a=6.2714 b=6.2714 c=6.6230 alpha=98.07 beta=98.07 gamma=119.86
With the nearest neighbours (Å) after each atom.
Positions (direct):
O  0.2087  0.2087  0.7990  1 Sb 2.11
O  0.7913  0.7913  0.2010  1 Sb 2.11
O  0.9406  0.6711  0.8312  1 Sb 2.03
Sb  0.0000  0.0000  0.0000  6 O 2.03-2.11
O  0.3289  0.0594  0.1688  1 Sb 2.03
O  0.6711  0.9406  0.8312  1 Sb 2.03
Sr  0.6681  0.3319  0.0000  6 O 2.51-2.66
Sr  0.3319  0.6681  0.0000  6 O 2.51-2.66
O  0.0594  0.3289  0.1688  1 Sb 2.03
Tl  0.8378  0.1622  0.5000  4 O 2.70-2.81
Tl  0.1622  0.8378  0.5000  4 O 2.70-2.81
Tl  0.5000  0.5000  0.5000  6 O 2.88-3.05

Calculated values
Space group: No. 12
E_tot (eV for the cell shown): -63.7
Calculated volume (Å³ per atom): 18.1